SrAl3Si: optimized geometry, PBE.

## Properties
* energy relative to the elements, uncorrected: 121 kJ/mol of formula units
* total magnetic moment: 0.000 μB/f.u.
* relative energy among the computed polymorphs: 0.488 eV per atom

Cell and atoms, written as CIF:
```
data_SrAl3Si
_chemical_formula_sum 'Sr1 Al3 Si1'
_cell_length_a 4.9919
_cell_length_b 4.9919
_cell_length_c 4.9919
_cell_angle_alpha 90.00
_cell_angle_beta 90.00
_cell_angle_gamma 90.00
_space_group_name_H-M_alt 'P m -3 m'
_space_group_IT_number 221
_space_group_name_Hall '-P 4 2 3'
loop_
_atom_site_label
_atom_site_fract_x
_atom_site_fract_y
_atom_site_fract_z
Sr1 0.0000 0.0000 0.0000
Al1 0.0000 0.5000 0.5000
Si1 0.5000 0.5000 0.5000
```

---

BeCdCo3: optimized geometry, PBE.

## Properties
* formation energy: 0.447 eV/atom
* total magnetic moment: 3.090 μB/f.u.
* relative energy among the computed polymorphs: 0.000 eV per atom

Cell and atoms, written as CIF:
```
data_BeCdCo3
_chemical_formula_sum 'Be1 Cd1 Co3'
_cell_length_a 3.9847
_cell_length_b 3.9847
_cell_length_c 3.9847
_cell_angle_alpha 90.00
_cell_angle_beta 90.00
_cell_angle_gamma 90.00
_space_group_name_H-M_alt 'P m -3 m'
_space_group_IT_number 221
_space_group_name_Hall '-P 4 2 3'
loop_
_atom_site_label
_atom_site_fract_x
_atom_site_fract_y
_atom_site_fract_z
Be1 0.0000 0.0000 0.0000
Cd1 0.5000 0.5000 0.5000
Co1 0.0000 0.0000 0.5000
```

---

TaNb2Al: optimized geometry, PBE.

## Properties
* formation energy: 0.517 eV/atom
* total magnetic moment: 0.000 μB/f.u.

Cell and atoms, written as CIF:
```
data_TaNb2Al
_chemical_formula_sum 'Ta4 Nb8 Al4'
_cell_length_a 7.4317
_cell_length_b 7.4317
_cell_length_c 5.4608
_cell_angle_alpha 90.00
_cell_angle_beta 90.00
_cell_angle_gamma 90.00
_space_group_name_H-M_alt 'I -4 2 d'
_space_group_IT_number 122
_space_group_name_Hall 'I -4 2bw'
loop_
_atom_site_label
_atom_site_fract_x
_atom_site_fract_y
_atom_site_fract_z
Ta1 0.0000 0.0000 0.0000
Nb1 0.2355 0.2500 0.6250
Al1 0.0000 0.0000 0.5000
```

---

AlCu2Ni: optimized geometry, PBE.

## Properties
* formation energy: -0.060 eV/atom
* total magnetic moment: 0.000 μB/f.u.

Cell and atoms, written as CIF:
```
data_AlCu2Ni
_chemical_formula_sum 'Al4 Cu8 Ni4'
_cell_length_a 4.0576
_cell_length_b 6.9879
_cell_length_c 7.3557
_cell_angle_alpha 90.00
_cell_angle_beta 90.00
_cell_angle_gamma 90.00
_space_group_name_H-M_alt 'C m c m'
_space_group_IT_number 63
_space_group_name_Hall '-C 2c 2'
loop_
_atom_site_label
_atom_site_fract_x
_atom_site_fract_y
_atom_site_fract_z
Al1 0.0000 0.1633 0.2500
Cu1 0.0000 0.1690 0.5830
Ni1 0.0000 0.4969 0.2500
```